Below is a relaxed structure of YRe3As, with properties calculated at the PBE level.

The calculation puts the energy relative to the elements at 0.95 eV per atom.

The space group is Pm-3m (No. 221) and the conventional cell measures 4.625, 4.625 and 4.625 Å, with angles of 90.00, 90.00 and 90.00 degrees. Symmetry generates all atoms from Y at (0.000, 0.000, 0.000), Re at (0.000, 0.500, 0.500) and As at (0.500, 0.500, 0.500).



Below is a relaxed structure of TaSe2SN, with properties calculated at the PBE level.

The value obtained for the uncorrected formation energy is 971 meV/atom.

The space group is P4/mmm (No. 123) and the conventional cell measures 4.999, 4.999 and 3.300 Å, with angles of 90.00, 90.00 and 90.00 degrees. Symmetry generates all atoms from Ta at (0.000, 0.000, 0.000), Se at (0.000, 0.500, 0.500), S at (0.500, 0.500, 0.500) and N at (0.500, 0.500, 0.000).



Below is a relaxed structure of PrHo3, with properties calculated at the PBE level.

The calculation puts the energy relative to the elements at 0.02 eV per atom.

The space group is Pmm2 (No. 25) and the conventional cell measures 3.648, 5.698 and 6.290 Å, with angles of 90.00, 90.00 and 90.00 degrees. Symmetry generates all atoms from Pr at (0.000, 0.000, 0.000), Ho at (0.000, 0.500, 0.662), Ho at (0.500, 0.000, 0.497) and Ho at (0.500, 0.500, 0.165).



Below is a relaxed structure of UTl2Se2O2, with properties calculated at the PBE level.

The value obtained for the uncorrected formation energy is -1540 meV/atom.

The space group is C2/m (No. 12) and the conventional cell measures 12.791, 4.283 and 7.913 Å, with angles of 90.00, 120.84 and 90.00 degrees. Symmetry generates all atoms from U at (0.000, 0.000, 0.000), Tl at (0.179, 0.000, 0.679), Se at (0.057, 0.500, 0.277) and O at (0.160, 0.000, 0.060).



Total moment across the listed records, respectively: 1.8, 1.1, 0.0, 0.0 μB per formula unit.
Total energy across the listed records, respectively: -8.7407, -5.2835, -4.6040, -6.2411 eV per atom.